Ag5Se2S: optimized geometry, PBE.

Cell lengths 4.5097, 6.9698, 13.6472 Å; angles 90.00, 90.00, 108.88 degrees
Atoms (fractional coordinates):
Ag1 0.9115 0.8231 0.9140
Ag2 0.9115 0.8231 0.5860
Ag3 0.3071 0.6141 0.4630
Ag4 0.3071 0.6141 0.0370
Ag5 0.7310 0.4619 0.2500
Ag6 0.2690 0.5381 0.7500
Ag7 0.6929 0.3859 0.5370
Ag8 0.6929 0.3859 0.9630
Ag9 0.0885 0.1769 0.0860
Ag10 0.0885 0.1769 0.4140
Se1 0.8831 0.7662 0.3972
Se2 0.8831 0.7662 0.1028
Se3 0.1169 0.2338 0.6028
Se4 0.1169 0.2338 0.8972
S1 0.8402 0.6803 0.7500
S2 0.1598 0.3197 0.2500

Calculated values
* space-group type: Cmcm (63)

=====

Y2Be2Re: optimized geometry, PBE.

Cell lengths 3.9590, 3.9590, 6.2675 Å; angles 71.59, 71.59, 90.00 degrees
Atoms (fractional coordinates):
Y1 0.7500 0.2500 0.5000
Y2 0.2500 0.7500 0.5000
Re1 0.0000 0.0000 0.0000
Be1 0.4159 0.4159 0.1683
Be2 0.5841 0.5841 0.8317

Calculated values
* space-group type: I4/mmm (139)
* DFT formation energy: 967 meV per atom

=====

Number 1: density of states at the Fermi level 9.30 states/eV/cell, electronic total energy -3.1614 eV per atom. Number 2: density of states at the Fermi level 6.20 states/eV/cell, electronic total energy -5.5989 eV per atom.